Entry 1:
KAs3 | Alexandria via LeMat-Bulk | GGA-PBEsol | optimized geometry; energy of formation = 2.0583 eV per atom; D(E_F) = 6.60 states/eV/cell; space group = No. 221
1.0
5.5426 0.0000 0.0000
0.0000 5.5426 0.0000
0.0000 0.0000 5.5426
K As
1 3
Cartesian
0.0000 0.0000 0.0000
0.0000 0.0000 2.7713
0.0000 2.7713 0.0000
2.7713 0.0000 0.0000



Entry 2:
Al2CrRePb | Alexandria via LeMat-Bulk | GGA-PBEsol | optimized geometry; energy of formation = 0.6977 eV per atom; D(E_F) = 2.11 states/eV/cell; space group = No. 123
1.0
4.8327 0.0000 0.0000
0.0000 4.8327 0.0000
0.0000 0.0000 4.6622
Al Cr Re Pb
2 1 1 1
Cartesian
0.0000 2.4163 0.0000
2.4163 0.0000 0.0000
0.0000 0.0000 2.3311
0.0000 0.0000 0.0000
2.4163 2.4163 2.3311



Entry 3:
YCoTc2 | Alexandria via LeMat-Bulk | GGA-PBEsol | optimized geometry; energy of formation = 0.5281 eV per atom; energy relative to the lowest polymorph listed for this composition = 0.3168 eV per atom; D(E_F) = 4.60 states/eV/cell; space group = No. 65
1.0
2.5446 -4.3786 0.0000
2.5446 4.3786 0.0000
0.0000 0.0000 2.7879
Y Co Tc
1 1 2
Cartesian
0.0000 0.0000 0.0000
2.5446 0.0000 0.0000
1.2723 2.1893 1.3939
1.2723 -2.1893 1.3939



Entry 4:
Sr3NbCoO7 | Alexandria via LeMat-Bulk | GGA-PBEsol | optimized geometry; energy relative to the lowest polymorph listed for this composition = 0.0000 eV per atom; formation energy (no corrections) = -2.4806 eV/atom; D(E_F) = 17.96 states/eV/cell; space group = No. 110
1.0
-2.7414 2.7414 20.5844
2.7414 -2.7414 20.5844
2.7414 2.7414 -20.5844
Sr Nb Co O
12 4 4 28
Cartesian
0.0000 0.0000 0.0000
0.0000 0.0000 3.3074
2.7414 0.0000 5.9348
2.7414 0.0000 10.2922
2.7414 0.0000 13.5996
0.0000 0.0000 16.2270
0.0000 0.0000 20.5844
0.0000 0.0000 23.8918
0.0000 2.7414 5.9348
0.0000 2.7414 10.2922
0.0000 2.7414 13.5996
0.0000 0.0000 36.8114
0.0000 0.0000 8.0437
2.7414 0.0000 18.3359
0.0000 0.0000 28.6281
0.0000 2.7414 18.3359
2.7414 0.0000 1.7215
0.0000 0.0000 12.0137
0.0000 2.7414 1.7215
0.0000 0.0000 32.5981
3.7816 -1.0402 7.9853
1.3762 1.3653 -8.6708
1.3762 -1.3653 11.9136
2.7414 0.0000 3.6128
1.7012 -1.7012 18.2775
0.0000 0.0000 5.9782
0.0000 0.0000 9.9775
1.7012 1.7012 -2.3069
1.3653 1.3652 1.6214
1.3653 -1.3652 22.2058
0.0000 0.0000 13.9050
1.7012 1.0402 7.9853
2.7414 0.0000 16.2704
2.7414 0.0000 20.2697
-1.0402 1.7012 7.9853
1.3652 4.1067 -8.6708
1.3652 1.3760 11.9136
0.0000 2.7414 3.6128
1.0402 1.0402 18.2775
0.0000 0.0000 26.5626
0.0000 0.0000 30.5619
1.0402 4.4425 -2.3069
1.3760 4.1066 1.6214
1.3760 1.3762 22.2058
0.0000 0.0000 34.4894
1.0402 3.7815 7.9853
0.0000 2.7414 16.2704
0.0000 2.7414 20.2697



Entry 5:
RbPdN3 | Alexandria via LeMat-Bulk | GGA-PBEsol | optimized geometry; formation energy (no corrections) = 3.5413 eV/atom; D(E_F) = 2.42 states/eV/cell; space group = No. 221
1.0
4.4587 0.0000 0.0000
0.0000 4.4587 0.0000
0.0000 0.0000 4.4587
Rb Pd N
1 1 3
Cartesian
0.0000 0.0000 0.0000
2.2293 2.2293 2.2293
0.0000 0.0000 2.2293
0.0000 2.2293 0.0000
2.2293 0.0000 0.0000



Entry 6:
AgB3As | Alexandria via LeMat-Bulk | GGA-PBEsol | optimized geometry; energy of formation = 1.8845 eV per atom; D(E_F) = 2.25 states/eV/cell; space group = No. 221
1.0
4.0961 0.0000 0.0000
0.0000 4.0961 0.0000
0.0000 0.0000 4.0961
Ag B As
1 3 1
Cartesian
0.0000 0.0000 0.0000
0.0000 2.0481 2.0481
2.0481 0.0000 2.0481
2.0481 2.0481 0.0000
2.0481 2.0481 2.0481



Entry 7:
LaSi2Ru | Alexandria via LeMat-Bulk | GGA-PBEsol | optimized geometry; formation energy (no corrections) = -0.3538 eV/atom; D(E_F) = 2.26 states/eV/cell; space group = No. 10
1.0
3.0558 0.0000 0.0000
0.0000 4.1483 0.0000
-0.8138 0.0000 5.8143
La Si Ru
1 2 1
Cartesian
0.0000 0.0000 0.0000
0.6083 2.0742 4.0190
1.6337 2.0742 1.7953
1.1210 0.0000 2.9072



Entry 8:
RbReSnOs2 | Alexandria via LeMat-Bulk | GGA-PBEsol | optimized geometry; energy of formation = 3.1408 eV per atom; D(E_F) = 4.56 states/eV/cell; space group = No. 123
1.0
4.8671 0.0000 0.0000
0.0000 4.8671 0.0000
0.0000 0.0000 5.3789
Rb Re Sn Os
1 1 1 2
Cartesian
0.0000 0.0000 0.0000
2.4336 2.4336 0.0000
0.0000 0.0000 2.6894
0.0000 2.4336 2.6894
2.4336 0.0000 2.6894



Entry 9:
Al2TlRu | Alexandria via LeMat-Bulk | GGA-PBEsol | optimized geometry; energy of formation = 0.0468 eV per atom; D(E_F) = 1.61 states/eV/cell; space group = No. 25
1.0
3.1685 0.0000 0.0000
0.0000 4.3717 0.0000
0.0000 0.0000 4.8534
Al Tl Ru
2 1 1
Cartesian
0.0000 0.0000 0.0000
1.5843 2.1858 0.7426
0.0000 2.1858 3.1149
1.5843 0.0000 1.9596



Entry 10:
Ba2SiTe4 | Alexandria via LeMat-Bulk | GGA-PBEsol | optimized geometry; formation energy (no corrections) = -1.0403 eV/atom; space group = No. 11
1.0
7.4089 0.0000 0.0000
0.0000 7.5295 0.0000
-3.1312 0.0000 9.0865
Ba Si Te
4 2 8
Cartesian
1.4560 1.8824 0.4558
0.2521 1.8824 5.2245
4.0256 5.6471 3.8620
2.8217 5.6471 8.6308
-0.9455 5.6471 7.1938
5.2233 1.8824 1.8927
-0.7459 3.8449 2.4661
-0.7459 7.4494 2.4661
2.5537 5.6471 0.5956
1.0531 5.6471 5.6679
3.2246 1.8824 3.4186
1.7240 1.8824 8.4909
5.0236 0.0801 6.6204
5.0236 3.6846 6.6204



Entry 11:
NiAs2RuSe | Alexandria via LeMat-Bulk | GGA-PBEsol | optimized geometry; formation energy (no corrections) = 0.9119 eV/atom; D(E_F) = 5.27 states/eV/cell; space group = No. 123
1.0
4.5569 0.0000 0.0000
0.0000 4.5569 0.0000
0.0000 0.0000 5.0973
Ni As Ru Se
1 2 1 1
Cartesian
0.0000 0.0000 0.0000
0.0000 2.2784 2.5487
2.2784 0.0000 2.5487
2.2784 2.2784 2.5487
2.2784 2.2784 0.0000



Entry 12:
Rb3LaCl6 | Alexandria via LeMat-Bulk | GGA-PBEsol | optimized geometry; formation energy (no corrections) = -2.1233 eV/atom; D(E_F) = 0.00 states/eV/cell; space group = No. 148
1.0
4.0601 2.3441 6.5137
-4.0601 2.3441 6.5137
0.0000 -4.6882 6.5137
Rb La Cl
3 1 6
Cartesian
0.0000 0.0000 0.0000
0.0000 0.0000 5.5153
0.0000 0.0000 14.0259
0.0000 0.0000 9.7706
-2.1910 0.2389 8.0992
-1.3025 -1.7780 11.4420
0.8886 -2.0170 8.0992
-0.8886 2.0170 11.4420
1.3025 1.7780 8.0993
2.1910 -0.2389 11.4420



M_tot: 0.94; 3.22; 0.92; 1.22; 5.53; 0.00; 0.00; 3.39; 0.00; 0.00; 0.90; 0.00 (μB per formula unit)